[1]
Compound: Tm2CuGe
Source: Alexandria via LeMat-Bulk
Functional: PBE
Structure: relaxed

Summary:
Its crystal system is monoclinic. The calculation puts the formation energy from the elements at -2.34 eV per formula unit. The volume comes out at 172 Å³ per cell.

Lattice parameters (Å, degrees): 4.1372 5.7556 7.7123 110.34 90.00 90.00
Fractional coordinates of all 8 atoms:
1 Tm 0.7500 0.2123 0.4371
2 Tm 0.7500 0.2134 0.9175
3 Tm 0.2500 0.7866 0.0825
4 Tm 0.2500 0.7877 0.5629
5 Ge 0.7500 0.6606 0.7896
6 Ge 0.2500 0.3394 0.2104
7 Cu 0.7500 0.6398 0.2852
8 Cu 0.2500 0.3602 0.7148

[2]
Compound: Y2TmNi2
Source: Alexandria via LeMat-Bulk
Functional: PBE
Structure: relaxed

Summary:
Its crystal system is tetragonal. The calculation puts the formation energy from the elements at -1.67 eV per formula unit. The volume comes out at 219 Å³ per cell. For the offset from the most stable computed form, the calculation gives 0.0047 eV/atom.

Lattice parameters (Å, degrees): 3.9731 7.4228 7.4228 90.00 90.00 90.00
Fractional coordinates of all 10 atoms:
1 Ni 0.0000 0.3752 0.8752
2 Ni 0.0000 0.1248 0.3752
3 Ni 0.0000 0.8752 0.6248
4 Ni 0.0000 0.6248 0.1248
5 Y 0.5000 0.1663 0.6663
6 Y 0.5000 0.6663 0.8337
7 Y 0.5000 0.8337 0.3337
8 Y 0.5000 0.3337 0.1663
9 Tm 0.0000 0.5000 0.5000
10 Tm 0.0000 0.0000 0.0000

[3]
Compound: K2HN
Source: Alexandria via LeMat-Bulk
Functional: PBE
Structure: relaxed

Summary:
Its crystal system is tetragonal. The volume comes out at 211 Å³ per cell. For the offset from the most stable computed form, the calculation gives 0.2529 eV/atom.

Lattice parameters (Å, degrees): 7.1987 7.1987 6.5171 56.48 56.48 90.00
Last column: magnetic moment on the atom in μB.
Fractional coordinates of all 8 atoms:
1 H 0.2500 0.7500 0.5000  0.02
2 H 0.5000 0.5000 0.0000  0.02
3 N 0.7500 0.2500 0.5000  1.22
4 N 0.0000 0.0000 0.0000  1.23
5 K 0.8750 0.8581 0.7500  0.01
6 K 0.3750 0.3919 0.7500  0.01
7 K 0.6081 0.1250 0.2500  0.01
8 K 0.1419 0.6250 0.2500  0.01

[4]
Compound: C2SeF
Source: Alexandria via LeMat-Bulk
Functional: PBE
Structure: relaxed

Summary:
Its crystal system is tetragonal. The volume comes out at 110 Å³ per cell. For the offset from the most stable computed form, the calculation gives 0.0000 eV/atom.

Lattice parameters (Å, degrees): 5.3759 5.3759 5.3897 60.08 60.08 90.00
Fractional coordinates of all 8 atoms:
1 C 0.3750 0.3579 0.7500
2 C 0.6421 0.1250 0.2500
3 C 0.1079 0.6250 0.2500
4 C 0.8750 0.8921 0.7500
5 Se 0.0000 0.0000 0.0000
6 Se 0.7500 0.2500 0.5000
7 F 0.5000 0.5000 0.0000
8 F 0.2500 0.7500 0.5000

[5]
Compound: SiRhAuS
Source: Alexandria via LeMat-Bulk
Functional: PBE
Structure: relaxed

Summary:
Its crystal system is monoclinic. The volume comes out at 71 Å³ per cell. For the offset from the most stable computed form, the calculation gives 0.0213 eV/atom.

Lattice parameters (Å, degrees): 3.6236 4.4347 4.8375 99.73 112.02 90.04
Fractional coordinates of all 4 atoms:
1 Au 0.0963 0.4187 0.2761
2 Rh 0.8462 0.6975 0.7754
3 S 0.7187 0.1203 0.5204
4 Si 0.5117 0.7646 0.1061

[6]
Compound: Tb2SmEr6Tm
Source: Alexandria via LeMat-Bulk
Functional: PBE
Structure: relaxed

Summary:
Its crystal system is monoclinic. The calculation puts the formation energy from the elements at 1.20 eV per formula unit. The volume comes out at 630 Å³ per cell.

Lattice parameters (Å, degrees): 9.4876 8.7070 8.7070 117.91 93.92 93.92
Fractional coordinates of all 20 atoms:
1 Er 0.0573 0.1253 0.7484
2 Er 0.3813 0.5065 0.2915
3 Er 0.5573 0.7484 0.1253
4 Er 0.8813 0.2915 0.5065
5 Er 0.4427 0.2516 0.8747
6 Er 0.9427 0.8747 0.2516
7 Er 0.6845 0.0187 0.5691
8 Er 0.6187 0.4935 0.7085
9 Er 0.1845 0.5691 0.0187
10 Er 0.3155 0.9813 0.4309
11 Er 0.1187 0.7085 0.4935
12 Er 0.8155 0.4309 0.9813
13 Tb 0.9549 0.6970 0.8023
14 Tb 0.5451 0.1977 0.3030
15 Tb 0.0451 0.3030 0.1977
16 Tb 0.4549 0.8023 0.6970
17 Tm 0.7500 0.5910 0.4090
18 Tm 0.2500 0.4090 0.5910
19 Sm 0.7500 0.0229 0.9771
20 Sm 0.2500 0.9771 0.0229

[7]
Compound: MgAlHgPd
Source: Alexandria via LeMat-Bulk
Functional: PBE
Structure: relaxed

Summary:
Its crystal system is cubic. The calculation puts the formation energy from the elements at -1.41 eV per formula unit. The volume comes out at 69 Å³ per cell.

Lattice parameters (Å, degrees): 4.6138 4.6138 4.6138 60.00 60.00 60.00
Fractional coordinates of all 4 atoms:
1 Pd 0.7500 0.7500 0.7500
2 Hg 0.2500 0.2500 0.2500
3 Mg 0.5000 0.5000 0.5000
4 Al 0.0000 0.0000 0.0000

[8]
Compound: SrAg2B2O6
Source: Alexandria via LeMat-Bulk
Functional: PBE
Structure: relaxed

Summary:
Its crystal system is trigonal. The volume comes out at 167 Å³ per cell.

Lattice parameters (Å, degrees): 5.4420 5.4420 6.5038 90.00 90.00 120.00
Last column: magnetic moment on the atom in μB.
Fractional coordinates of all 11 atoms:
1 Ag 0.6667 0.3333 0.6887  0.24
2 Ag 0.3333 0.6667 0.3113  0.24
3 O 0.5960 0.6878 0.7620  0.20
4 O 0.9082 0.5960 0.2380  0.20
5 O 0.4040 0.3122 0.2380  0.20
6 O 0.3122 0.9082 0.7620  0.20
7 O 0.6878 0.0918 0.2380  0.20
8 O 0.0918 0.4040 0.7620  0.20
9 B 0.3333 0.6667 0.7600  -0.01
10 B 0.6667 0.3333 0.2400  -0.01
11 Sr 0.0000 0.0000 0.0000  0.01

[9]
Compound: BaNpCu2Se4
Source: Alexandria via LeMat-Bulk
Functional: PBE
Structure: relaxed

Summary:
Its crystal system is orthorhombic. The volume comes out at 219 Å³ per cell.

Lattice parameters (Å, degrees): 6.7433 6.6296 6.6296 70.33 59.43 59.43
Last column: magnetic moment on the atom in μB.
Fractional coordinates of all 8 atoms:
1 Se 0.9377 0.5020 0.1073  -0.08
2 Se 0.4531 0.1073 0.5020  -0.08
3 Se 0.5469 0.4980 0.8927  -0.08
4 Se 0.0623 0.8927 0.4980  -0.08
5 Ba 0.0000 0.0000 0.0000  0.00
6 Np 0.5000 0.5000 0.5000  3.52
7 Cu 0.8489 0.6511 0.6511  -0.07
8 Cu 0.1511 0.3489 0.3489  -0.07

[10]
Compound: CdOsBr
Source: Alexandria via LeMat-Bulk
Functional: PBE
Structure: relaxed

Summary:
Its crystal system is orthorhombic. The volume comes out at 63 Å³ per cell. For the offset from the most stable computed form, the calculation gives 0.0200 eV/atom.

Lattice parameters (Å, degrees): 8.3651 8.0435 3.0937 85.05 73.33 21.62
Fractional coordinates of all 3 atoms:
1 Cd 0.3111 0.3111 0.6889
2 Os 0.6579 0.6579 0.3421
3 Br 0.0309 0.0309 0.9691

[11]
Compound: Fe2Re3
Source: Alexandria via LeMat-Bulk
Functional: PBE
Structure: relaxed

Summary:
Its crystal system is cubic. The calculation puts the formation energy from the elements at -0.06 eV per formula unit. The volume comes out at 263 Å³ per cell. For the offset from the most stable computed form, the calculation gives 0.0000 eV/atom.

Lattice parameters (Å, degrees): 6.4088 6.4088 6.4088 90.00 90.00 90.00
Fractional coordinates of all 20 atoms:
1 Re 0.3750 0.8022 0.9478
2 Re 0.1250 0.1978 0.4478
3 Re 0.3022 0.5522 0.6250
4 Re 0.1978 0.4478 0.1250
5 Re 0.6250 0.3022 0.5522
6 Re 0.8750 0.6978 0.0522
7 Re 0.0522 0.8750 0.6978
8 Re 0.4478 0.1250 0.1978
9 Re 0.6978 0.0522 0.8750
10 Re 0.5522 0.6250 0.3022
11 Re 0.9478 0.3750 0.8022
12 Re 0.8022 0.9478 0.3750
13 Fe 0.0584 0.0584 0.0584
14 Fe 0.1916 0.8084 0.3084
15 Fe 0.8084 0.3084 0.1916
16 Fe 0.3084 0.1916 0.8084
17 Fe 0.9416 0.5584 0.4416
18 Fe 0.4416 0.9416 0.5584
19 Fe 0.6916 0.6916 0.6916
20 Fe 0.5584 0.4416 0.9416

[12]
Compound: Sr2HgSb
Source: Alexandria via LeMat-Bulk
Functional: PBE
Structure: relaxed

Summary:
Its crystal system is cubic. The volume comes out at 132 Å³ per cell. For the offset from the most stable computed form, the calculation gives 0.0506 eV/atom.

Lattice parameters (Å, degrees): 5.7174 5.7174 5.7174 60.00 60.00 60.00
Fractional coordinates of all 4 atoms:
1 Sb 0.0000 0.0000 0.0000
2 Sr 0.2500 0.2500 0.2500
3 Sr 0.7500 0.7500 0.7500
4 Hg 0.5000 0.5000 0.5000

[13]
Compound: Zr2Zn3Cu3
Source: Alexandria via LeMat-Bulk
Functional: PBE
Structure: relaxed

Summary:
Its crystal system is hexagonal. The calculation puts the formation energy from the elements at -0.21 eV per formula unit. The volume comes out at 279 Å³ per cell.

Lattice parameters (Å, degrees): 5.4133 7.7092 7.7092 60.00 90.00 90.00
Fractional coordinates of all 16 atoms:
1 Zn 0.7500 0.6897 0.3103
2 Zn 0.7500 0.3103 0.0000
3 Zn 0.2500 0.0000 0.3103
4 Zn 0.7500 0.0000 0.6897
5 Zn 0.2500 0.3103 0.6897
6 Zn 0.2500 0.6897 0.0000
7 Cu 0.2500 0.0000 0.6599
8 Cu 0.7500 0.0000 0.3401
9 Cu 0.7500 0.6599 0.0000
10 Cu 0.2500 0.3401 0.0000
11 Cu 0.7500 0.3401 0.6599
12 Cu 0.2500 0.6599 0.3401
13 Zr 0.5000 0.6667 0.6667
14 Zr 0.5000 0.3333 0.3333
15 Zr 0.0000 0.3333 0.3333
16 Zr 0.0000 0.6667 0.6667

[14]
Compound: Sm2TlPb3Se6
Source: Alexandria via LeMat-Bulk
Functional: PBE
Structure: relaxed

Summary:
Its crystal system is monoclinic. The volume comes out at 357 Å³ per cell.

Lattice parameters (Å, degrees): 4.3069 8.8662 9.6780 97.02 102.86 90.00
Fractional coordinates of all 12 atoms:
1 Pb 0.5000 0.5000 0.0000
2 Pb 0.8483 0.1388 0.6965
3 Pb 0.1517 0.8612 0.3035
4 Sm 0.1715 0.3437 0.3430
5 Sm 0.8285 0.6563 0.6570
6 Se 0.6894 0.1193 0.3788
7 Se 0.0218 0.2710 0.0435
8 Se 0.3322 0.4234 0.6645
9 Se 0.3106 0.8807 0.6212
10 Se 0.9782 0.7290 0.9565
11 Se 0.6678 0.5766 0.3355
12 Tl 0.5000 0.0000 0.0000

[15]
Compound: PrSn2Pt5
Source: Alexandria via LeMat-Bulk
Functional: PBE
Structure: relaxed

Summary:
Its crystal system is orthorhombic. The calculation puts the formation energy from the elements at -4.83 eV per formula unit. The volume comes out at 162 Å³ per cell.

Lattice parameters (Å, degrees): 4.0233 6.9842 6.9842 61.08 73.26 73.26
Fractional coordinates of all 8 atoms:
1 Pt 0.0000 0.5000 0.5000
2 Pt 0.6236 0.1743 0.5784
3 Pt 0.6236 0.5784 0.1743
4 Pt 0.3764 0.4216 0.8257
5 Pt 0.3764 0.8257 0.4216
6 Sn 0.2414 0.2586 0.2586
7 Sn 0.7586 0.7414 0.7414
8 Pr 0.0000 0.0000 0.0000

[16]
Compound: Pm4Te5Se2
Source: Alexandria via LeMat-Bulk
Functional: PBE
Structure: relaxed

Summary:
Its crystal system is monoclinic. The volume comes out at 367 Å³ per cell.

Lattice parameters (Å, degrees): 4.3326 8.4132 11.0730 111.43 101.28 90.00
Fractional coordinates of all 11 atoms:
1 Pm 0.2825 0.2769 0.5650
2 Pm 0.7175 0.7231 0.4350
3 Pm 0.9937 0.2583 0.9873
4 Pm 0.0063 0.7417 0.0127
5 Te 0.1650 0.4180 0.3299
6 Te 0.8350 0.5820 0.6701
7 Te 0.8369 0.0842 0.6737
8 Te 0.1631 0.9158 0.3263
9 Te 0.5000 0.0000 0.0000
10 Se 0.4408 0.5001 0.8817
11 Se 0.5592 0.4999 0.1183

[17]
Compound: RuPt2
Source: Alexandria via LeMat-Bulk
Functional: PBE
Structure: relaxed

Summary:
Its crystal system is orthorhombic. The calculation puts the formation energy from the elements at 0.78 eV per formula unit. The volume comes out at 198 Å³ per cell.

Lattice parameters (Å, degrees): 2.7058 3.7537 19.5117 90.00 90.00 90.00
Fractional coordinates of all 12 atoms:
1 Pt 0.5000 0.7500 0.6903
2 Pt 0.0000 0.7500 0.9516
3 Pt 0.0000 0.2500 0.0484
4 Pt 0.0000 0.7500 0.8097
5 Pt 0.0000 0.2500 0.1903
6 Pt 0.5000 0.2500 0.3097
7 Pt 0.5000 0.2500 0.4516
8 Pt 0.5000 0.7500 0.5484
9 Ru 0.0000 0.7500 0.3810
10 Ru 0.0000 0.2500 0.6190
11 Ru 0.5000 0.2500 0.8810
12 Ru 0.5000 0.7500 0.1190

[18]
Compound: GaTcOs
Source: Alexandria via LeMat-Bulk
Functional: PBE
Structure: relaxed

Summary:
Its crystal system is hexagonal. The calculation puts the formation energy from the elements at 0.20 eV per formula unit. The volume comes out at 44 Å³ per cell. For the offset from the most stable computed form, the calculation gives 0.1691 eV/atom.

Lattice parameters (Å, degrees): 2.7704 4.2715 4.2715 120.00 90.00 90.00
Fractional coordinates of all 3 atoms:
1 Tc 0.0002 0.0000 0.0000
2 Ga 0.4996 0.6667 0.3333
3 Os 0.5002 0.3333 0.6667

[19]
Compound: Ba2RhAu
Source: Alexandria via LeMat-Bulk
Functional: PBE
Structure: relaxed

Summary:
Its crystal system is monoclinic. The calculation puts the formation energy from the elements at -1.68 eV per formula unit. The volume comes out at 253 Å³ per cell.

Lattice parameters (Å, degrees): 4.6460 6.4260 9.0905 110.98 90.00 90.00
Fractional coordinates of all 8 atoms:
1 Ba 0.7500 0.2235 0.9217
2 Ba 0.2500 0.7831 0.5620
3 Ba 0.2500 0.7765 0.0783
4 Ba 0.7500 0.2169 0.4380
5 Rh 0.2500 0.3738 0.7199
6 Rh 0.7500 0.6262 0.2801
7 Au 0.2500 0.3576 0.2152
8 Au 0.7500 0.6424 0.7848

[20]
Compound: YZr2Ag2
Source: Alexandria via LeMat-Bulk
Functional: PBE
Structure: relaxed

Summary:
Its crystal system is tetragonal. The calculation puts the formation energy from the elements at 0.16 eV per formula unit. The volume comes out at 227 Å³ per cell. For the offset from the most stable computed form, the calculation gives 0.0000 eV/atom.

Lattice parameters (Å, degrees): 8.2761 8.2761 3.3081 90.00 90.00 90.00
Fractional coordinates of all 10 atoms:
1 Y 0.0000 0.0000 0.0000
2 Y 0.5000 0.5000 0.0000
3 Zr 0.8288 0.3288 0.5000
4 Zr 0.1712 0.6712 0.5000
5 Zr 0.6712 0.8288 0.5000
6 Zr 0.3288 0.1712 0.5000
7 Ag 0.8765 0.6235 0.0000
8 Ag 0.3765 0.8765 0.0000
9 Ag 0.1235 0.3765 0.0000
10 Ag 0.6235 0.1235 0.0000

[21]
Compound: NiBr2
Source: Alexandria via LeMat-Bulk
Functional: PBE
Structure: relaxed

Summary:
Its crystal system is orthorhombic. The volume comes out at 165 Å³ per cell.

Lattice parameters (Å, degrees): 3.4350 6.7662 7.1073 90.00 90.00 90.00
Fractional coordinates of all 6 atoms:
1 Ni 0.0000 0.0000 0.0000
2 Ni 0.5000 0.5000 0.5000
3 Br 0.5000 0.1740 0.1507
4 Br 0.5000 0.8260 0.8493
5 Br 0.0000 0.6740 0.3493
6 Br 0.0000 0.3260 0.6507

[22]
Compound: CeNdSmTc
Source: Alexandria via LeMat-Bulk
Functional: PBE
Structure: relaxed

Summary:
Its crystal system is trigonal. The calculation puts the formation energy from the elements at 0.46 eV per formula unit. The volume comes out at 118 Å³ per cell.

Lattice parameters (Å, degrees): 4.4313 4.4313 7.3835 89.99 107.46 120.03
Fractional coordinates of all 4 atoms:
1 Ce 0.8350 0.2819 0.1169
2 Sm 0.3760 0.0525 0.4285
3 Nd 0.9528 0.8411 0.7940
4 Tc 0.5283 0.6289 0.1572

[23]
Compound: BaAcIr
Source: Alexandria via LeMat-Bulk
Functional: PBE
Structure: relaxed

Summary:
Its crystal system is triclinic. The calculation puts the formation energy from the elements at -0.76 eV per formula unit. The volume comes out at 220 Å³ per cell. For the offset from the most stable computed form, the calculation gives 0.1265 eV/atom.

Lattice parameters (Å, degrees): 3.8131 7.7872 7.9082 104.32 103.93 90.08
Fractional coordinates of all 6 atoms:
1 Ac 0.5575 0.1116 0.8810
2 Ac 0.3205 0.9923 0.4078
3 Ba 0.5540 0.6127 0.8795
4 Ba 0.3235 0.4913 0.4093
5 Ir 0.9389 0.2590 0.6437
6 Ir 0.9390 0.8449 0.6451

[24]
Compound: SrNi2Rh
Source: Alexandria via LeMat-Bulk
Functional: PBE
Structure: relaxed

Summary:
Its crystal system is monoclinic. The calculation puts the formation energy from the elements at 1.19 eV per formula unit. The volume comes out at 71 Å³ per cell. For the offset from the most stable computed form, the calculation gives 0.4061 eV/atom.

Lattice parameters (Å, degrees): 4.2480 2.9568 5.8189 77.62 90.00 90.00
Last column: magnetic moment on the atom in μB.
Fractional coordinates of all 4 atoms:
1 Rh 0.5000 0.2500 0.2500  0.20
2 Sr 0.5000 0.7500 0.7500  -0.02
3 Ni 0.0000 0.0394 0.0821  0.29
4 Ni 0.0000 0.4606 0.4179  0.29

no.,total moment (μB/atom),E (eV/atom)
1,0.00,-4.9999
2,0.00,-6.1256
3,0.50,-2.8046
4,0.01,-3.9103
5,0.00,-5.2214
6,0.00,-4.4632
7,0.00,-3.0598
8,0.17,-6.1859
9,0.38,-5.4344
10,0.00,-3.7610
11,0.00,-10.8666
12,0.00,-2.7048
13,0.00,-4.1771
14,0.00,-4.6400
15,0.00,-5.9769
16,0.00,-5.0722
17,0.00,-6.8598
18,0.00,-8.1411
19,0.00,-4.0387
20,0.00,-5.8198
21,0.00,-3.3056
22,0.00,-6.3315
23,0.00,-5.2165
24,0.18,-4.8525